La6FeSi2S14 after structural relaxation. Source: Alexandria via LeMat-Bulk, functional PBEsol.

Formation energy from raw total energies (eV per atom): -1.6997

a b c (Å): 10.1469 10.1469 5.6841
angles (deg): 90.00 90.00 120.00
Space group P3 (No. 143)
Unique sites:
La 0.0213 0.4613 0.0000 [3 per cell]
La 0.3112 0.2082 0.4999 [3 per cell]
Fe 0.6667 0.3333 0.7365 [1 per cell]
Si 0.0000 0.0000 0.0778 [1 per cell]
Si 0.3333 0.6667 0.5843 [1 per cell]
S 0.0000 0.0000 0.7091 [1 per cell]
S 0.0779 0.2227 0.2162 [3 per cell]
S 0.1926 0.7492 0.7211 [3 per cell]
S 0.3333 0.6667 0.2150 [1 per cell]
S 0.4386 0.2503 0.9636 [3 per cell]
S 0.5174 0.1052 0.5167 [3 per cell]

SrSiNi2 after structural relaxation. Source: Alexandria via LeMat-Bulk, functional PBEsol.

Formation energy from raw total energies (eV per atom): 0.2156

a b c (Å): 6.2943 6.2935 3.0893
angles (deg): 90.00 90.29 90.00
Space group C2/m (No. 12)
Unique sites:
Sr 0.0000 0.0000 0.0000 [2 per cell]
Si 0.0000 0.5000 0.0000 [2 per cell]
Ni 0.2500 0.2500 0.5000 [4 per cell]

Rb2Li2Al after structural relaxation. Source: Alexandria via LeMat-Bulk, functional PBEsol.

Energy of formation (eV/atom): 0.269

a b c (Å): 7.6609 7.6609 6.1766
angles (deg): 90.00 90.00 90.00
Space group P4/mbm (No. 127)
Unique sites:
Rb 0.1844 0.3156 0.0000 [4 per cell]
Li 0.1659 0.6659 0.5000 [4 per cell]
Al 0.0000 0.0000 0.5000 [2 per cell]

CdSbF3 after structural relaxation. Source: Alexandria via LeMat-Bulk, functional PBEsol.

Formation energy from raw total energies (eV per atom): -1.2948

a b c (Å): 4.3708 4.3708 4.3708
angles (deg): 90.00 90.00 90.00
Space group Pm-3m (No. 221)
Unique sites:
Cd 0.0000 0.0000 0.0000 [1 per cell]
Sb 0.5000 0.5000 0.5000 [1 per cell]
F 0.0000 0.0000 0.5000 [3 per cell]

CsPOs3 after structural relaxation. Source: Alexandria via LeMat-Bulk, functional PBEsol.

Energy of formation (eV/atom): 1.617

a b c (Å): 4.5350 4.5350 4.5350
angles (deg): 90.00 90.00 90.00
Space group Pm-3m (No. 221)
Unique sites:
Cs 0.0000 0.0000 0.0000 [1 per cell]
P 0.5000 0.5000 0.5000 [1 per cell]
Os 0.0000 0.5000 0.5000 [3 per cell]

YFe2Co2 after structural relaxation. Source: Alexandria via LeMat-Bulk, functional PBEsol.

Energy of formation (eV/atom): -0.044
ΔE to the lowest computed polymorph (meV per atom): 0

a b c (Å): 3.8695 3.8695 9.5530
angles (deg): 90.00 90.00 90.00
Space group I4/mmm (No. 139)
Unique sites:
Y 0.0000 0.0000 0.0000 [2 per cell]
Fe 0.0000 0.5000 0.2500 [4 per cell]
Co 0.0000 0.0000 0.3821 [4 per cell]

ScCu2As after structural relaxation. Source: Alexandria via LeMat-Bulk, functional PBEsol.

Energy of formation (eV/atom): -0.439

a b c (Å): 3.7396 3.7396 4.2368
angles (deg): 90.00 90.00 90.00
Space group P4/mmm (No. 123)
Unique sites:
Sc 0.0000 0.0000 0.0000 [1 per cell]
Cu 0.0000 0.5000 0.5000 [2 per cell]
As 0.5000 0.5000 0.0000 [1 per cell]

ZnCrO4 after structural relaxation. Source: Alexandria via LeMat-Bulk, functional PBEsol.

ΔE to the lowest computed polymorph (meV per atom): 18
Formation energy from raw total energies (eV per atom): -1.6154

a b c (Å): 9.9035 9.1036 6.7252
angles (deg): 90.00 104.19 90.00
Space group C2/m (No. 12)
Unique sites:
Zn 0.0000 0.1811 0.0000 [4 per cell]
Zn 0.2060 0.0000 0.3643 [4 per cell]
Cr 0.0000 0.2545 0.5000 [4 per cell]
Cr 0.2236 0.5000 0.0877 [4 per cell]
O 0.0446 0.1543 0.3150 [8 per cell]
O 0.1341 0.3531 0.6071 [8 per cell]
O 0.1349 0.3510 0.0184 [8 per cell]
O 0.1424 0.0000 0.0375 [4 per cell]
O 0.2145 0.0000 0.6654 [4 per cell]

KSr3Rh after structural relaxation. Source: Alexandria via LeMat-Bulk, functional PBEsol.

Energy of formation (eV/atom): -0.087
ΔE to the lowest computed polymorph (meV per atom): 0

a b c (Å): 6.6300 8.8258 7.4514
angles (deg): 90.00 90.00 90.00
Space group Pmma (No. 51)
Unique sites:
K 0.2500 0.0000 0.1725 [2 per cell]
Sr 0.2500 0.2677 0.6606 [4 per cell]
Sr 0.2500 0.5000 0.1787 [2 per cell]
Rh 0.0000 0.5000 0.5000 [2 per cell]

In2Ag2Te after structural relaxation. Source: Alexandria via LeMat-Bulk, functional PBEsol.

Formation energy from raw total energies (eV per atom): 0.0786

a b c (Å): 4.2359 4.2359 12.8646
angles (deg): 90.00 90.00 90.00
Space group I4/mmm (No. 139)
Unique sites:
In 0.0000 0.5000 0.2500 [4 per cell]
Ag 0.0000 0.0000 0.1024 [4 per cell]
Te 0.0000 0.0000 0.5000 [2 per cell]

Cd2CuRe after structural relaxation. Source: Alexandria via LeMat-Bulk, functional PBEsol.

Energy of formation (eV/atom): 0.512
ΔE to the lowest computed polymorph (meV per atom): 58

a b c (Å): 2.7723 4.8313 9.7010
angles (deg): 90.00 90.00 90.00
Space group Imm2 (No. 44)
Unique sites:
Cd 0.0000 0.0000 0.0000 [2 per cell]
Cd 0.0000 0.5000 0.2284 [2 per cell]
Cu 0.0000 0.5000 0.7424 [2 per cell]
Re 0.0000 0.0000 0.4637 [2 per cell]

Bi3HPt after structural relaxation. Source: Alexandria via LeMat-Bulk, functional PBEsol.

Electronic total energy (eV/cell): -18.9

a b c (Å): 5.3872 5.3872 5.3872
angles (deg): 90.00 90.00 90.00
Space group Pm-3m (No. 221)
Unique sites:
Bi 0.0000 0.0000 0.5000 [3 per cell]
H 0.5000 0.5000 0.5000 [1 per cell]
Pt 0.0000 0.0000 0.0000 [1 per cell]

CrNi2GePb after structural relaxation. Source: Alexandria via LeMat-Bulk, functional PBEsol.

Energy of formation (eV/atom): 0.803

a b c (Å): 4.3977 4.3977 4.5593
angles (deg): 90.00 90.00 90.00
Space group P4/mmm (No. 123)
Unique sites:
Cr 0.0000 0.0000 0.0000 [1 per cell]
Ni 0.0000 0.5000 0.0000 [2 per cell]
Ge 0.0000 0.0000 0.5000 [1 per cell]
Pb 0.5000 0.5000 0.5000 [1 per cell]

ScBeIn2 after structural relaxation. Source: Alexandria via LeMat-Bulk, functional PBEsol.

Energy of formation (eV/atom): -0.021

a b c (Å): 3.1721 4.2743 5.8151
angles (deg): 90.00 90.26 90.00
Space group P2/m (No. 10)
Unique sites:
Sc 0.0000 0.0000 0.0000 [1 per cell]
Be 0.5000 0.0000 0.5000 [1 per cell]
In 0.4966 0.5000 0.7450 [2 per cell]

GaHg2I2 after structural relaxation. Source: Alexandria via LeMat-Bulk, functional PBEsol.

Formation energy from raw total energies (eV per atom): -0.0454

a b c (Å): 6.2199 6.2199 8.2117
angles (deg): 90.00 90.00 90.00
Space group I4/mmm (No. 139)
Unique sites:
Ga 0.0000 0.0000 0.0000 [2 per cell]
Hg 0.0000 0.0000 0.3361 [4 per cell]
I 0.0000 0.5000 0.2500 [4 per cell]

SiRuBr after structural relaxation. Source: Alexandria via LeMat-Bulk, functional PBEsol.

ΔE to the lowest computed polymorph (meV per atom): 0
Formation energy from raw total energies (eV per atom): 0.1322

a b c (Å): 3.2117 3.2117 5.6096
angles (deg): 90.00 90.00 120.00
Space group P3m1 (No. 156)
Unique sites:
Si 0.0000 0.0000 0.0000 [1 per cell]
Ru 0.6667 0.3333 0.2471 [1 per cell]
Br 0.3333 0.6667 0.6312 [1 per cell]

La2WBr after structural relaxation. Source: Alexandria via LeMat-Bulk, functional PBEsol.

ΔE to the lowest computed polymorph (meV per atom): 592
Formation energy from raw total energies (eV per atom): 0.4670

a b c (Å): 3.5235 5.5148 10.2841
angles (deg): 90.00 90.00 90.00
Space group Cmm2 (No. 35)
Unique sites:
La 0.0000 0.0000 0.0000 [2 per cell]
La 0.0000 0.5000 0.3275 [2 per cell]
W 0.0000 0.0000 0.5380 [2 per cell]
Br 0.0000 0.5000 0.7604 [2 per cell]

Ba3Rh after structural relaxation. Source: Alexandria via LeMat-Bulk, functional PBEsol.

Energy of formation (eV/atom): -0.026

a b c (Å): 4.0909 11.7746 7.3570
angles (deg): 90.00 90.00 90.00
Space group Imm2 (No. 44)
Unique sites:
Ba 0.0000 0.0000 0.0000 [2 per cell]
Ba 0.0000 0.1668 0.4692 [4 per cell]
Rh 0.0000 0.5000 0.8011 [2 per cell]

InGaAuS2 after structural relaxation. Source: Alexandria via LeMat-Bulk, functional PBEsol.

Formation energy from raw total energies (eV per atom): 0.7318

a b c (Å): 4.9014 4.9014 5.2117
angles (deg): 90.00 90.00 90.00
Space group P4/mmm (No. 123)
Unique sites:
In 0.0000 0.0000 0.0000 [1 per cell]
Ga 0.0000 0.0000 0.5000 [1 per cell]
Au 0.5000 0.5000 0.5000 [1 per cell]
S 0.0000 0.5000 0.0000 [2 per cell]

BaTa4O11 after structural relaxation. Source: Alexandria via LeMat-Bulk, functional PBEsol.

Formation energy from raw total energies (eV per atom): -2.9403

a b c (Å): 6.2999 6.2999 12.4982
angles (deg): 90.00 90.00 120.00
Space group P6_322 (No. 182)
Unique sites:
Ba 0.3333 0.6667 0.2500 [2 per cell]
Ta 0.0000 0.3569 0.5000 [6 per cell]
Ta 0.3333 0.6667 0.7500 [2 per cell]
O 0.0000 0.2452 0.0000 [6 per cell]
O 0.0712 0.4349 0.6522 [12 per cell]
O 0.3333 0.6667 0.0333 [4 per cell]